(1)
! CaScBr | Alexandria via LeMat-Bulk | PBE-GGA | relaxed; values from VASP
&SYSTEM
  ibrav = 0, nat = 3, ntyp = 3
/
ATOMIC_SPECIES
Ca 40.08 Ca.upf
Sc 44.96 Sc.upf
Br 79.90 Br.upf
CELL_PARAMETERS angstrom
0.000 3.496 3.496
3.496 0.000 3.496
3.496 3.496 0.000
ATOMIC_POSITIONS crystal
Ca 0.000 0.000 0.000
Sc 0.500 0.500 0.500
Br 0.250 0.250 0.250
! ΔE_f (raw) (meV/atom): -120.6
! M_tot (μB per cell): 2.01
! Crystal system: cubic
! Polymorph energy (0 for the lowest one) (meV per atom): 538.0

(2)
! Ca3ScBr | Alexandria via LeMat-Bulk | PBE-GGA | relaxed; values from VASP
&SYSTEM
  ibrav = 0, nat = 5, ntyp = 3
/
ATOMIC_SPECIES
Ca 40.08 Ca.upf
Sc 44.96 Sc.upf
Br 79.90 Br.upf
CELL_PARAMETERS angstrom
5.660 0.000 0.000
0.000 5.660 0.000
0.000 0.000 5.660
ATOMIC_POSITIONS crystal
Ca 0.000 0.000 0.500
Ca 0.000 0.500 0.000
Ca 0.500 0.000 0.000
Sc 0.500 0.500 0.500
Br 0.000 0.000 0.000
! ΔE_f (raw) (meV/atom): -139.1
! M_tot (μB per cell): 2.10
! Crystal system: cubic
! Polymorph energy (0 for the lowest one) (meV per atom): 0.0